Record 1
LaTi2CuCl: relaxed, PBE.

Space group: P4/mmm
Energy relative to the elements, uncorrected: 0.1132 eV per atom

Lattice parameters (Å, degrees): 4.513 5.402 4.513 90.00 90.00 90.00
Site moments in Bohr magnetons follow the coordinates.
Element x y z (fractional)
Cu  0.500  0.500  0.500  0.03
Ti  0.000  0.000  0.500  0.28
Ti  0.500  0.000  0.000  0.52
Cl  0.000  0.000  0.000  -0.01
La  0.000  0.500  0.000  0.04

***

Record 2
PmY2Mg4: relaxed, PBE.

Space group: I4/mmm
E above lowest polymorph: 491 meV per atom

Lattice parameters (Å, degrees): 5.582 5.582 9.006 108.05 108.05 90.00
Element x y z (fractional)
Pm  0.000  0.000  0.000
Y  0.396  0.396  0.793
Mg  0.500  0.000  0.000
Y  0.604  0.604  0.207
Mg  0.000  0.500  0.000
Mg  0.190  0.190  0.380
Mg  0.810  0.810  0.620

***

Record 3
FeHgW: relaxed, PBE.

Space group: I4mm
E above lowest polymorph: 220 meV per atom

Lattice parameters (Å, degrees): 5.983 5.983 2.926 75.85 75.84 28.31
Site moments in Bohr magnetons follow the coordinates.
Element x y z (fractional)
W  0.361  0.361  0.639  -0.13
Hg  0.659  0.659  0.341  0.00
Fe  0.980  0.980  0.020  0.61

***

no.,M_tot (μB per formula unit)
1,1.1
2,0.0
3,0.5